# TbPm2Hg

A relaxed TbPm2Hg crystal (PBE, Alexandria).

Formation enthalpy at 0 K: -0.28 eV/f.u.
Total DFT energy (no corrections): -0.2703 Ry per atom
Fermi-level density of states: 1.3285 states/eV/atom
SG: No. 225

POSCAR file:
```
TbPm2Hg
1.0
5.501 0.000 0.000
2.751 4.764 0.000
2.751 1.588 4.492
Pm Tb Hg
2 1 1
Cartesian
8.252 4.764 3.369
2.751 1.588 1.123
0.000 0.000 0.000
5.501 3.176 2.246
```

=====

# NdEuTmTh

A relaxed NdEuTmTh crystal (PBE, Alexandria).

Formation enthalpy at 0 K: 0.82 eV/f.u.
Total DFT energy (no corrections): -0.4798 Ry per atom
Fermi-level density of states: 1.7544 states/eV/atom
SG: No. 216

POSCAR file:
```
NdEuTmTh
1.0
-4.274 2.461 -2.987
-4.631 -3.096 -1.490
-5.080 1.009 2.535
Nd Tm Th Eu
1 1 1 1
Cartesian
-3.496 0.093 -0.485
-6.993 0.187 -0.971
-10.489 0.280 -1.456
0.000 0.000 0.000
```

=====

# VGa2Rh3

A relaxed VGa2Rh3 crystal (PBE, Alexandria).

Formation enthalpy at 0 K: -3.49 eV/f.u.
Total DFT energy (no corrections): -0.4988 Ry per atom
Fermi-level density of states: 0.5176 states/eV/atom
SG: No. 123

POSCAR file:
```
VGa2Rh3
1.0
-2.260 -0.177 1.773
0.884 -2.598 0.866
5.415 4.286 7.329
Rh Ga V
3 2 1
Cartesian
3.643 2.883 4.931
1.772 1.403 2.398
0.000 0.000 0.000
3.839 2.196 7.447
0.200 -0.685 2.521
2.020 0.755 4.984
```

=====

# K2ZrSe

A relaxed K2ZrSe crystal (PBE, Alexandria).

Energy relative to the elements, uncorrected: -0.233 eV/atom
Total DFT energy (no corrections): -0.2785 Ry per atom
Fermi-level density of states: 0.6368 states/eV/atom
SG: No. 8

POSCAR file:
```
K2ZrSe
1.0
5.013 0.003 -0.004
3.629 3.459 -0.004
2.239 0.897 9.522
K Zr Se
2 1 1
Cartesian
2.137 0.856 8.776
2.142 0.858 3.125
8.394 3.362 5.942
5.888 2.358 5.947
```

=====

# Sm2Dy3Ga4

A relaxed Sm2Dy3Ga4 crystal (PBE, Alexandria).

Formation enthalpy at 0 K: -5.17 eV/f.u.
Total DFT energy (no corrections): -0.3310 Ry per atom
Fermi-level density of states: 0.8509 states/eV/atom
SG: No. 14

POSCAR file:
```
Sm2Dy3Ga4
1.0
-0.110 -5.430 5.178
-4.025 -2.801 -6.300
6.791 -3.003 -3.004
Dy Sm Ga
6 4 8
Cartesian
4.562 -7.228 -0.092
1.383 -2.902 -4.652
3.593 -4.060 -2.228
-2.068 -4.115 -0.561
-1.905 -4.005 -4.033
-0.936 -7.173 -1.897
0.472 -1.483 -1.367
1.334 -6.635 -4.947
1.322 -4.598 0.822
2.185 -9.751 -2.758
-1.247 -6.518 1.089
6.224 -5.128 -1.531
-3.568 -6.106 -2.594
2.111 -6.662 -1.856
-0.518 -4.715 -6.507
0.546 -4.571 -2.269
3.174 -6.519 2.382
3.903 -4.715 -5.214
```

=====

# PaZn2Pd

A relaxed PaZn2Pd crystal (PBE, Alexandria).

Formation enthalpy at 0 K: -1.38 eV/f.u.
Total DFT energy (no corrections): -0.3421 Ry per atom
Fermi-level density of states: 1.1398 states/eV/atom
SG: No. 63

POSCAR file:
```
PaZn2Pd
1.0
4.461 -0.477 0.000
-1.715 5.085 0.000
0.000 0.000 6.725
Pa Zn Pd
2 4 2
Cartesian
2.657 3.772 5.044
0.089 0.836 1.681
2.361 0.986 3.752
0.385 3.622 0.389
0.385 3.622 2.974
2.361 0.986 6.336
2.538 2.665 1.681
0.208 1.943 5.044
```

=====

# PaGeRu2

A relaxed PaGeRu2 crystal (PBE, Alexandria).

Formation enthalpy at 0 K: -2.18 eV/f.u.
Total DFT energy (no corrections): -0.6403 Ry per atom
Fermi-level density of states: 0.5806 states/eV/atom
SG: No. 11

POSCAR file:
```
PaGeRu2
1.0
1.370 1.425 -4.304
2.440 -3.631 -0.426
-6.268 -4.240 0.232
Pa Ru Ge
2 4 2
Cartesian
0.511 -3.596 -0.435
-2.969 -2.849 -4.063
1.928 -2.455 -2.051
-4.386 -3.991 -2.446
-0.249 -3.751 -3.474
-2.209 -2.695 -1.023
-0.385 -1.288 -2.568
-2.074 -5.158 -1.930
```

=====

# Pu2Zn3CuAu12

A relaxed Pu2Zn3CuAu12 crystal (PBE, Alexandria).

Formation enthalpy at 0 K: -0.87 eV/f.u.
Total DFT energy (no corrections): -0.3135 Ry per atom
Fermi-level density of states: 2.1401 states/eV/atom
SG: No. 166

POSCAR file:
```
Pu2Zn3CuAu12
1.0
10.164 1.995 1.415
6.754 7.853 1.415
6.754 3.931 6.944
Zn Au Pu Cu
3 12 2 1
Cartesian
5.082 0.997 0.707
3.377 1.966 3.472
3.377 3.927 0.707
12.481 8.886 4.585
13.890 6.464 4.585
12.481 7.265 6.870
6.023 5.422 1.816
15.983 11.219 7.958
17.649 10.273 5.257
17.649 8.358 7.958
7.689 2.560 1.816
11.192 4.894 5.189
11.192 6.515 2.903
9.782 7.315 5.189
6.023 3.506 4.517
15.185 8.839 6.269
8.488 4.941 3.504
0.000 0.000 0.000
```

=====

# Pa2CuReN5

A relaxed Pa2CuReN5 crystal (PBE, Alexandria).

Energy relative to the elements, uncorrected: -0.750 eV/atom
Total DFT energy (no corrections): -0.6853 Ry per atom
Fermi-level density of states: 0.4628 states/eV/atom
SG: No. 36

POSCAR file:
```
Pa2CuReN5
1.0
-0.751 0.028 3.267
-5.341 -3.639 -2.916
4.753 -7.904 1.160
Pa N Re Cu
4 10 2 2
Cartesian
-0.834 -8.940 1.605
-0.092 -3.262 0.007
-3.667 -4.376 0.915
1.957 -6.521 0.506
-2.041 -2.744 1.274
1.401 -8.309 2.113
-4.406 -5.715 -0.963
-2.740 -7.318 1.153
3.233 -6.077 2.515
0.428 -5.015 1.861
-0.651 -0.786 -0.143
-0.193 -7.283 0.018
-1.642 -5.032 -0.334
-4.074 -2.663 -0.913
-1.318 -6.081 1.469
-2.365 -1.537 -0.530
4.263 -7.808 2.766
-3.360 -7.436 -0.708
```

=====

# Sr2MgAl3Ag12

A relaxed Sr2MgAl3Ag12 crystal (PBE, Alexandria).

Formation enthalpy at 0 K: 3.38 eV/f.u.
Total DFT energy (no corrections): -0.1920 Ry per atom
Fermi-level density of states: 0.3334 states/eV/atom
SG: No. 166

POSCAR file:
```
Sr2MgAl3Ag12
1.0
8.319 -0.261 -0.185
3.881 7.363 -0.185
3.881 2.259 7.010
Ag Al Mg Sr
12 3 1 2
Cartesian
10.169 3.168 2.247
4.032 2.347 4.325
12.049 7.014 2.314
6.216 1.107 0.785
9.866 8.254 5.854
8.305 4.834 0.514
7.777 7.278 2.247
7.777 4.527 6.126
8.305 2.083 4.392
5.913 6.193 4.392
4.032 4.858 0.785
12.049 4.503 5.854
1.941 3.681 -0.093
4.159 -0.130 -0.093
1.941 1.130 3.505
0.000 0.000 0.000
9.780 5.693 4.038
6.302 3.668 2.602
```

=====

# La8PmHo3

A relaxed La8PmHo3 crystal (PBE, Alexandria).

Formation enthalpy at 0 K: 3.82 eV/f.u.
Total DFT energy (no corrections): -0.3313 Ry per atom
Fermi-level density of states: 1.6177 states/eV/atom
SG: No. 71

POSCAR file:
```
La8PmHo3
1.0
0.901 6.146 -6.265
3.220 -8.132 1.158
-8.403 -2.376 -1.255
La Ho Pm
8 3 1
Cartesian
-2.543 -2.022 -1.265
-3.115 -4.968 -3.153
-1.740 -2.340 -5.096
-5.116 -7.242 -1.314
0.835 2.879 -5.049
-1.167 0.605 -3.208
-4.516 2.288 -6.566
0.234 -6.650 0.204
-4.914 -0.474 -3.782
-2.592 -5.254 -0.048
0.633 -3.888 -2.580
0.000 0.000 0.000
```

=====

# PmEr7Mg2

A relaxed PmEr7Mg2 crystal (PBE, Alexandria).

Formation enthalpy at 0 K: 5.97 eV/f.u.
Total DFT energy (no corrections): -0.2492 Ry per atom
Fermi-level density of states: 2.0097 states/eV/atom
SG: No. 65

POSCAR file:
```
PmEr7Mg2
1.0
5.274 0.000 0.000
0.000 9.165 -0.563
0.000 -4.549 7.977
Mg Er Pm
2 7 1
Cartesian
2.637 5.068 1.988
2.637 -0.452 5.426
2.637 5.336 5.097
2.637 2.397 0.377
2.637 -0.719 2.317
2.637 2.220 7.037
2.637 2.308 3.707
0.000 -1.641 6.166
0.000 6.258 1.247
0.000 0.000 0.000
```

=====

# ScHg2Pb2

A relaxed ScHg2Pb2 crystal (PBE, Alexandria).

Formation enthalpy at 0 K: 0.42 eV/f.u.
Total DFT energy (no corrections): -0.2049 Ry per atom
Fermi-level density of states: 0.6547 states/eV/atom
SG: No. 127

POSCAR file:
```
ScHg2Pb2
1.0
8.195 0.000 0.000
0.000 8.195 0.000
0.000 0.000 4.081
Pb Sc Hg
4 2 4
Cartesian
1.221 2.877 0.000
5.318 1.221 0.000
2.877 6.975 0.000
6.975 5.318 0.000
4.098 4.098 0.000
0.000 0.000 0.000
2.825 1.273 2.040
6.923 2.825 2.040
5.370 6.923 2.040
1.273 5.370 2.040
```

=====

# CsKRu2O8

A relaxed CsKRu2O8 crystal (PBE, Alexandria).

Energy relative to the elements, uncorrected: -1.104 eV/atom
Total DFT energy (no corrections): -0.4497 Ry per atom
Fermi-level density of states: 1.0071 states/eV/atom
SG: No. 12

POSCAR file:
```
CsKRu2O8
1.0
5.511 -0.449 0.029
2.144 5.097 0.029
0.454 0.276 9.438
O Ru Cs K
8 2 1 1
Cartesian
2.757 1.674 5.787
2.691 1.634 8.699
5.352 3.250 3.709
3.646 3.911 7.295
4.463 1.012 2.201
5.418 3.289 0.797
2.957 3.493 2.201
5.152 1.431 7.295
3.553 2.157 7.272
4.556 2.766 2.224
0.227 0.138 4.719
0.000 0.000 0.000
```

=====

# SrPmHgRh

A relaxed SrPmHgRh crystal (PBE, Alexandria).

Formation enthalpy at 0 K: -1.52 eV/f.u.
Total DFT energy (no corrections): -0.2867 Ry per atom
Fermi-level density of states: 1.0746 states/eV/atom
SG: No. 216

POSCAR file:
```
SrPmHgRh
1.0
5.258 0.000 0.000
2.629 4.553 0.000
2.629 1.518 4.293
Pm Sr Hg Rh
1 1 1 1
Cartesian
2.629 1.518 1.073
7.887 4.553 3.220
5.258 3.036 2.146
0.000 0.000 0.000
```

=====

# La4PdRuI2

A relaxed La4PdRuI2 crystal (PBE, Alexandria).

Energy relative to the elements, uncorrected: -0.918 eV/atom
Total DFT energy (no corrections): -0.4100 Ry per atom
Fermi-level density of states: 0.3137 states/eV/atom
SG: No. 10

POSCAR file:
```
La4PdRuI2
1.0
-2.533 -3.278 1.011
1.569 -3.207 -6.464
5.908 -2.826 5.635
La Pd I Ru
4 1 2 1
Cartesian
5.235 -3.196 2.748
2.243 -2.836 -3.577
0.219 -2.950 -0.023
4.726 -6.361 0.205
0.000 0.000 0.000
3.739 -3.016 -0.415
1.688 -3.052 3.323
-0.482 -3.242 -2.726
```

=====

# SnAu2Cl

A relaxed SnAu2Cl crystal (PBE, Alexandria).

Energy relative to the elements, uncorrected: -0.107 eV/atom
Total DFT energy (no corrections): -0.2358 Ry per atom
Fermi-level density of states: 0.3774 states/eV/atom
SG: No. 122

POSCAR file:
```
SnAu2Cl
1.0
-1.018 7.972 0.058
-7.768 -0.979 -1.817
-5.024 3.396 1.874
Cl Sn Au
2 2 4
Cartesian
-8.593 2.957 -0.412
-4.393 3.497 -0.880
-5.218 7.433 0.526
0.000 0.000 0.000
-6.925 5.187 0.778
-11.594 8.649 -0.166
-6.220 1.092 -0.661
-2.881 5.851 0.279
```

=====

# Y3ScFe

A relaxed Y3ScFe crystal (PBE, Alexandria).

Formation enthalpy at 0 K: 0.93 eV/f.u.
Total DFT energy (no corrections): -0.4889 Ry per atom
Fermi-level density of states: 1.9304 states/eV/atom
SG: No. 221

POSCAR file:
```
Y3ScFe
1.0
5.226 0.000 0.000
0.000 5.226 0.000
0.000 0.000 5.226
Y Sc Fe
3 1 1
Cartesian
2.613 0.000 0.000
0.000 2.613 0.000
0.000 0.000 2.613
2.613 2.613 2.613
0.000 0.000 0.000
```

=====

# TbGe2Rh2

A relaxed TbGe2Rh2 crystal (PBE, Alexandria).

Formation enthalpy at 0 K: -4.48 eV/f.u.
Total DFT energy (no corrections): -0.4857 Ry per atom
Fermi-level density of states: 0.5544 states/eV/atom
SG: No. 139

POSCAR file:
```
TbGe2Rh2
1.0
-3.599 -4.278 -2.088
1.682 -3.545 -4.496
2.095 2.018 5.211
Tb Ge Rh
1 2 2
Cartesian
0.000 0.000 0.000
-0.726 -2.962 -2.493
-1.191 -4.862 -4.092
1.410 -2.719 -1.289
-1.231 -3.085 -0.085
```

=====

# ZrPS2F

A relaxed ZrPS2F crystal (PBE, Alexandria).

Energy relative to the elements, uncorrected: -0.141 eV/atom
Total DFT energy (no corrections): -0.3644 Ry per atom
Fermi-level density of states: 1.1882 states/eV/atom
SG: No. 123

POSCAR file:
```
ZrPS2F
1.0
-2.932 3.870 0.566
-0.829 0.076 -4.817
-4.094 -3.197 0.654
F Zr S P
1 1 2 1
Cartesian
-3.927 0.374 -1.798
0.000 0.000 0.000
-0.414 0.038 -2.408
-1.466 1.935 0.283
-2.047 -1.599 0.327
```

=====

# Tm2TaO6

A relaxed Tm2TaO6 crystal (PBE, Alexandria).

Energy relative to the elements, uncorrected: -3.076 eV/atom
Total DFT energy (no corrections): -0.6388 Ry per atom
Fermi-level density of states: 0.5474 states/eV/atom
SG: No. 136

POSCAR file:
```
Tm2TaO6
1.0
4.997 0.000 0.000
0.000 4.997 0.000
0.000 0.000 9.969
O Tm Ta
12 4 2
Cartesian
1.559 1.559 6.482
0.939 4.057 1.498
1.072 3.925 4.984
1.559 1.559 3.487
4.057 0.939 8.471
3.438 3.438 3.487
3.438 3.438 6.482
4.057 0.939 1.498
0.939 4.057 8.471
1.427 1.427 0.000
3.570 3.570 0.000
3.925 1.072 4.984
2.498 2.498 1.680
0.000 0.000 3.304
0.000 0.000 6.665
2.498 2.498 8.288
2.498 2.498 4.984
0.000 0.000 0.000
```

=====

# NbSe4Br

A relaxed NbSe4Br crystal (PBE, Alexandria).

Energy relative to the elements, uncorrected: -0.521 eV/atom
Total DFT energy (no corrections): -0.3529 Ry per atom
SG: No. 15

POSCAR file:
```
NbSe4Br
1.0
6.273 -0.013 -1.389
-2.258 6.932 -2.853
0.090 -0.317 7.827
Se Br Nb
8 2 2
Cartesian
0.564 5.582 2.448
4.057 4.476 3.371
3.541 1.021 1.137
2.895 1.121 5.604
5.942 0.551 4.547
0.048 2.127 0.213
-1.837 6.051 -0.962
1.210 5.482 -2.020
3.454 3.814 0.686
0.651 2.789 2.898
2.448 6.920 -3.891
1.657 -0.317 7.475
```

=====

# LaY

A relaxed LaY crystal (PBE, Alexandria).

Formation enthalpy at 0 K: 0.01 eV/f.u.
Total DFT energy (no corrections): -0.4182 Ry per atom
Fermi-level density of states: 1.2483 states/eV/atom
SG: No. 166

POSCAR file:
```
LaY
1.0
-3.476 1.117 -0.413
-2.219 0.220 2.921
-0.216 5.999 1.696
Y La
1 1
Cartesian
-2.956 3.668 2.102
0.000 0.000 0.000
```